[1]
Material: Mg6CuAu5
Method: DFT, PBE
State: relaxed

The value obtained for the density is 9.32 g cm⁻³. The calculation puts the total energy at -72.8 eV/cell. The energy of formation comes out at -51 kJ/mol of atoms.

It has space group Cmmm (No. 65), with a = 4.610 Å, b = 13.812 Å, c = 6.681 Å, α = 90.00°, β = 90.00° and γ = 90.00°. Symmetry generates all atoms from Mg at (0.000, 0.000, 0.249), Mg at (0.000, 0.334, 0.254), Cu at (0.000, 0.500, 0.500), Au at (0.000, 0.160, 0.500), Au at (0.000, 0.169, 0.000) and Au at (0.000, 0.500, 0.000).

=====

[2]
Material: DyZnCu2
Method: DFT, PBE
State: relaxed

The value obtained for the density is 8.74 g cm⁻³. The calculation puts the total energy at -14.5 eV/cell. The energy of formation comes out at -11 kJ/mol of atoms.

It has space group P4/mmm (No. 123), with a = 3.221 Å, b = 3.221 Å, c = 6.502 Å, α = 90.00°, β = 90.00° and γ = 90.00°. Symmetry generates all atoms from Dy at (0.000, 0.000, 0.000), Zn at (0.000, 0.000, 0.500) and Cu at (0.500, 0.500, 0.298).

=====

[3]
Material: ZrTcOs4
Method: DFT, PBE
State: relaxed

The value obtained for the density is 16.23 g cm⁻³. The calculation puts the total energy at -252.1 eV/cell. The energy of formation comes out at 13 kJ/mol of atoms.

It has space group F-43m (No. 216), with a = 7.299 Å, b = 7.299 Å, c = 7.299 Å, α = 90.00°, β = 90.00° and γ = 90.00°. Symmetry generates all atoms from Zr at (0.000, 0.000, 0.000), Tc at (0.250, 0.250, 0.250) and Os at (0.124, 0.124, 0.624).

=====

[4]
Material: Pm2PbBr8
Method: DFT, PBE
State: relaxed

The calculation puts the energy relative to the elements, uncorrected at -1509 meV per atom. The value obtained for the density is 4.49 g cm⁻³. The calculation puts the total energy at -86.4 eV/cell.

It has space group C2/m (No. 12), with a = 14.477 Å, b = 6.983 Å, c = 8.310 Å, α = 90.00°, β = 91.64° and γ = 90.00°. Symmetry generates all atoms from Pm at (0.127, 0.000, 0.055), Pb at (0.000, 0.000, 0.500), Br at (0.029, 0.246, 0.803), Br at (0.196, 0.000, 0.375) and Br at (0.204, 0.500, 0.097).